Entry from Alexandria: a relaxed La8Sm2Th crystal (PBE).

Size of the total moment = 0.00 μB/f.u.
Total DFT energy (no corrections) = -53.02 eV for the cell shown
ΔE_f = 0.296 eV per atom
Fermi-level density of states = 19.39 states/eV/f.u.
Calculated volume = 413.66 Å³/f.u.

Cell lengths 7.5029, 8.8396, 7.5029 Å; angles 107.45, 73.71, 72.55 degrees
Positions (direct):
La: 0.2624 0.2500 0.2400
La: 0.3961 0.7018 0.6039
La: 0.7376 0.7500 0.7600
La: 0.2972 0.1291 0.7028
La: 0.7028 0.8709 0.2972
La: 0.6039 0.2982 0.3961
La: 0.7600 0.2500 0.7376
La: 0.2400 0.7500 0.2624
Th: 0.0000 0.0000 0.0000
Sm: 0.8335 0.4524 0.1665
Sm: 0.1665 0.5476 0.8335